(1)
## BeP2ClO (GGA-PBEsol)

Data for a relaxed BeP2ClO crystal.

Results
Spin magnetization in μB/cell: 0.000
ΔE_f (raw) in eV per atom: 0.107
Raw total energy in eV per atom: -4.461
Space group: P4/mmm, No. 123

a b c (Å): 2.941 4.880 4.880
angles (deg): 90.00 90.00 90.00
Atoms (fractional coordinates):
Cl 0.500 0.500 0.500
O 0.500 0.000 0.000
P 0.000 0.500 0.000
P 0.000 0.000 0.500
Be 0.000 0.000 0.000



(2)
## Mn2AgOs (GGA-PBEsol)

Data for a relaxed Mn2AgOs crystal.

Results
Spin magnetization in μB/cell: 4.663
Raw total energy in eV per atom: -8.443
Space group: P4/mmm, No. 123
Calculated formation energy in eV/f.u.: 1.3

a b c (Å): 2.694 2.694 7.501
angles (deg): 90.00 90.00 90.00
Each line ends with the local moment (μB).
Atoms (fractional coordinates):
Os 0.500 0.500 0.000  -0.43
Mn 0.000 0.000 0.771  2.42
Mn 0.000 0.000 0.229  2.42
Ag 0.500 0.500 0.500  0.08



(3)
## Na3TcTe (GGA-PBEsol)

Data for a relaxed Na3TcTe crystal.

Results
Spin magnetization in μB/cell: 4.027
ΔE_f (raw) in eV per atom: 0.835
Raw total energy in eV per atom: -2.963
Space group: Pm-3m, No. 221

a b c (Å): 5.757 5.757 5.757
angles (deg): 90.00 90.00 90.00
Each line ends with the local moment (μB).
Atoms (fractional coordinates):
Na 0.000 0.000 0.500  -0.01
Na 0.000 0.500 0.000  -0.01
Na 0.500 0.000 0.000  -0.01
Te 0.000 0.000 0.000  0.01
Tc 0.500 0.500 0.500  3.63



(4)
## Er2Al4NiGe2 (GGA-PBEsol)

Data for a relaxed Er2Al4NiGe2 crystal.

Results
Spin magnetization in μB/cell: 0.000
Raw total energy in eV per atom: -5.349
Space group: I4/mmm, No. 139
Calculated formation energy in eV/f.u.: -5.9

a b c (Å): 4.079 4.079 9.979
angles (deg): 101.79 101.79 90.00
Atoms (fractional coordinates):
Er 0.813 0.813 0.627
Er 0.187 0.187 0.373
Ge 0.664 0.664 0.328
Ge 0.336 0.336 0.672
Ni 0.000 0.000 0.000
Al 0.068 0.568 0.136
Al 0.432 0.932 0.864
Al 0.568 0.068 0.136
Al 0.932 0.432 0.864



(5)
## CdHg13 (GGA-PBEsol)

Data for a relaxed CdHg13 crystal.

Results
Spin magnetization in μB/cell: 0.000
Raw total energy in eV per atom: -0.502
Space group: Fm-3c, No. 226
Calculated formation energy in eV/f.u.: 1.5

a b c (Å): 10.125 10.125 10.125
angles (deg): 60.00 60.00 60.00
Atoms (fractional coordinates):
Hg 0.058 0.942 0.696
Hg 0.696 0.304 0.058
Hg 0.196 0.558 0.804
Hg 0.804 0.558 0.442
Hg 0.942 0.058 0.304
Hg 0.696 0.942 0.304
Hg 0.942 0.304 0.696
Hg 0.058 0.696 0.304
Hg 0.804 0.442 0.196
Hg 0.804 0.196 0.558
Hg 0.558 0.804 0.196
Hg 0.696 0.058 0.942
Hg 0.304 0.696 0.942
Hg 0.304 0.942 0.058
Hg 0.500 0.500 0.500
Hg 0.558 0.442 0.804
Hg 0.196 0.442 0.558
Hg 0.558 0.196 0.442
Hg 0.442 0.196 0.804
Hg 0.442 0.558 0.196
Hg 0.304 0.058 0.696
Hg 0.196 0.804 0.442
Hg 0.000 0.000 0.000
Hg 0.942 0.696 0.058
Hg 0.058 0.304 0.942
Hg 0.442 0.804 0.558
Cd 0.750 0.750 0.750
Cd 0.250 0.250 0.250



(6)
## CrCdFe2 (GGA-PBEsol)

Data for a relaxed CrCdFe2 crystal.

Results
Spin magnetization in μB/cell: 0.941
Raw total energy in eV per atom: -6.827
Space group: P4/mmm, No. 123
Calculated formation energy in eV/f.u.: 2.1

a b c (Å): 3.769 3.769 3.770
angles (deg): 90.00 90.00 90.00
Each line ends with the local moment (μB).
Atoms (fractional coordinates):
Fe 0.000 0.500 0.000  2.07
Fe 0.500 0.000 0.000  2.07
Cr 0.000 0.000 0.500  -2.96
Cd 0.500 0.500 0.500  -0.04



(7)
## Ag2P2Cl (GGA-PBEsol)

Data for a relaxed Ag2P2Cl crystal.

Results
Spin magnetization in μB/cell: 0.000
ΔE_f (raw) in eV per atom: 0.121
Raw total energy in eV per atom: -3.922
Space group: I4/mmm, No. 139

a b c (Å): 3.411 3.411 7.887
angles (deg): 102.49 102.49 90.00
Atoms (fractional coordinates):
P 0.250 0.750 0.500
P 0.750 0.250 0.500
Cl 0.000 0.000 0.000
Ag 0.397 0.397 0.794
Ag 0.603 0.603 0.206



(8)
## BiRu3Cl (GGA-PBEsol)

Data for a relaxed BiRu3Cl crystal.

Results
Spin magnetization in μB/cell: 0.005
ΔE_f (raw) in eV per atom: 1.060
Raw total energy in eV per atom: -6.302
Space group: Pm-3m, No. 221

a b c (Å): 4.401 4.401 4.401
angles (deg): 90.00 90.00 90.00
Atoms (fractional coordinates):
Ru 0.000 0.000 0.500
Ru 0.000 0.500 0.000
Ru 0.500 0.000 0.000
Bi 0.500 0.500 0.500
Cl 0.000 0.000 0.000



(9)
## Y2Cr2O7 (GGA-PBEsol)

Data for a relaxed Y2Cr2O7 crystal.

Results
Spin magnetization in μB/cell: 8.000
ΔE_f (raw) in eV per atom: -2.721
Raw total energy in eV per atom: -9.164
Space group: Fd-3m, No. 227

a b c (Å): 6.983 6.983 6.983
angles (deg): 60.00 90.00 60.00
Each line ends with the local moment (μB).
Atoms (fractional coordinates):
O 0.828 0.250 0.672  -0.02
O 0.828 0.250 0.078  -0.02
O 0.172 0.155 0.922  -0.02
O 0.422 0.250 0.078  -0.02
O 0.422 0.656 0.672  -0.02
O 0.578 0.344 0.328  -0.02
O 0.125 0.250 0.375  0.00
O 0.578 0.750 0.922  -0.02
O 0.578 0.750 0.328  -0.02
O 0.828 0.845 0.078  -0.02
O 0.875 0.750 0.625  0.00
O 0.172 0.750 0.328  -0.02
O 0.172 0.750 0.922  -0.02
O 0.422 0.250 0.672  -0.02
Y 0.500 0.000 0.500  0.02
Y 0.000 0.500 0.500  0.02
Y 0.000 0.500 0.000  0.02
Y 0.000 0.000 0.500  0.02
Cr 0.000 0.000 0.000  1.98
Cr 0.500 0.500 0.500  1.98
Cr 0.500 0.000 0.000  1.98
Cr 0.500 0.500 0.000  1.98



(10)
## AlRu (GGA-PBEsol)

Data for a relaxed AlRu crystal.

Results
Spin magnetization in μB/cell: 0.001
Raw total energy in eV per atom: -7.055
Space group: P6_3/mmc, No. 194
Calculated formation energy in eV/f.u.: 0.2

a b c (Å): 4.242 4.242 7.453
angles (deg): 90.00 90.00 120.00
Atoms (fractional coordinates):
Al 0.000 0.000 0.250
Al 0.000 0.000 0.750
Al 0.333 0.667 0.750
Al 0.667 0.333 0.250
Ru 0.333 0.667 0.083
Ru 0.667 0.333 0.583
Ru 0.667 0.333 0.917
Ru 0.333 0.667 0.417



(11)
## Zr2HgO2 (GGA-PBEsol)

Data for a relaxed Zr2HgO2 crystal.

Results
Spin magnetization in μB/cell: 0.000
ΔE_f (raw) in eV per atom: -2.167
Raw total energy in eV per atom: -8.016
Space group: I4/mmm, No. 139

a b c (Å): 3.524 3.524 6.649
angles (deg): 105.37 105.37 90.00
Atoms (fractional coordinates):
Hg 0.000 0.000 0.000
Zr 0.347 0.347 0.695
Zr 0.653 0.653 0.305
O 0.250 0.750 0.500
O 0.750 0.250 0.500



(12)
## SrLaCuS3 (GGA-PBEsol)

Data for a relaxed SrLaCuS3 crystal.

Results
Spin magnetization in μB/cell: 0.000
ΔE_f (raw) in eV per atom: -1.767
Raw total energy in eV per atom: -5.880
Space group: Pnma, No. 62

a b c (Å): 4.063 11.049 11.471
angles (deg): 90.00 90.00 90.00
Atoms (fractional coordinates):
Sr 0.750 0.181 0.492
Sr 0.750 0.681 0.008
Sr 0.250 0.819 0.508
Sr 0.250 0.319 0.992
S 0.250 0.883 0.942
S 0.750 0.117 0.058
S 0.250 0.051 0.641
S 0.250 0.551 0.859
S 0.750 0.949 0.359
S 0.250 0.722 0.196
S 0.250 0.383 0.558
S 0.750 0.449 0.141
S 0.750 0.278 0.804
S 0.750 0.617 0.442
S 0.750 0.778 0.696
S 0.250 0.222 0.304
La 0.250 0.988 0.182
La 0.750 0.012 0.818
La 0.250 0.488 0.318
La 0.750 0.512 0.682
Cu 0.250 0.245 0.711
Cu 0.750 0.255 0.211
Cu 0.250 0.745 0.789
Cu 0.750 0.755 0.289



(13)
## Rb2NaNiF6 (GGA-PBEsol)

Data for a relaxed Rb2NaNiF6 crystal.

Results
Spin magnetization in μB/cell: 1.000
ΔE_f (raw) in eV per atom: -2.395
Raw total energy in eV per atom: -4.513
Space group: Fm-3m, No. 225

a b c (Å): 5.873 5.873 5.873
angles (deg): 60.00 60.00 60.00
Each line ends with the local moment (μB).
Atoms (fractional coordinates):
F 0.773 0.773 0.227  0.03
F 0.773 0.227 0.227  0.03
F 0.227 0.227 0.773  0.03
F 0.773 0.227 0.773  0.03
F 0.227 0.773 0.773  0.03
F 0.227 0.773 0.227  0.03
Rb 0.750 0.750 0.750  0.00
Rb 0.250 0.250 0.250  0.00
Ni 0.000 0.000 0.000  0.78
Na 0.500 0.500 0.500  0.01



(14)
## HgW (GGA-PBEsol)

Data for a relaxed HgW crystal.

Results
Spin magnetization in μB/cell: 0.002
Distance to the lowest polymorph of the same formula in eV/atom: 1.1143
Raw total energy in eV per atom: -5.337
Space group: Fm-3m, No. 225
Calculated formation energy in eV/f.u.: 3.7

a b c (Å): 3.834 3.834 3.834
angles (deg): 60.00 60.00 60.00
Atoms (fractional coordinates):
Hg 0.000 0.000 0.000
W 0.500 0.500 0.500



(15)
## LaTlS3 (GGA-PBEsol)

Data for a relaxed LaTlS3 crystal.

Results
Spin magnetization in μB/cell: 0.000
ΔE_f (raw) in eV per atom: -0.593
Raw total energy in eV per atom: -4.818
Space group: Pm-3m, No. 221

a b c (Å): 4.988 4.988 4.988
angles (deg): 90.00 90.00 90.00
Atoms (fractional coordinates):
Tl 0.000 0.000 0.000
S 0.500 0.000 0.000
S 0.000 0.500 0.000
S 0.000 0.000 0.500
La 0.500 0.500 0.500



(16)
## BeAlIn2 (GGA-PBEsol)

Data for a relaxed BeAlIn2 crystal.

Results
Spin magnetization in μB/cell: 0.000
Distance to the lowest polymorph of the same formula in eV/atom: 0.0000
Raw total energy in eV per atom: -3.207
Space group: Imm2, No. 44
Calculated formation energy in eV/f.u.: 1.2

a b c (Å): 3.016 4.324 6.479
angles (deg): 109.49 103.46 90.00
Atoms (fractional coordinates):
Be 0.241 0.741 0.482
In 0.946 0.946 0.892
In 0.747 0.247 0.493
Al 0.566 0.566 0.133



(17)
## LaCo2Os (GGA-PBEsol)

Data for a relaxed LaCo2Os crystal.

Results
Spin magnetization in μB/cell: 2.812
Distance to the lowest polymorph of the same formula in eV/atom: 0.6696
Raw total energy in eV per atom: -7.573
Space group: R3m, No. 160
Calculated formation energy in eV/f.u.: 2.7

a b c (Å): 2.795 2.795 9.204
angles (deg): 81.27 81.27 60.00
Each line ends with the local moment (μB).
Atoms (fractional coordinates):
Os 0.265 0.265 0.204  -0.06
Co 0.003 0.003 0.990  1.49
Co 0.735 0.735 0.795  1.55
La 0.497 0.497 0.510  -0.08



(18)
## NdCoC2 (GGA-PBEsol)

Data for a relaxed NdCoC2 crystal.

Results
Spin magnetization in μB/cell: 0.000
Raw total energy in eV per atom: -8.380
Space group: Cc, No. 9
Calculated formation energy in eV/f.u.: -1.3

a b c (Å): 3.750 3.750 7.310
angles (deg): 98.11 98.11 90.02
Atoms (fractional coordinates):
C 0.595 0.445 0.024
C 0.857 0.493 0.179
C 0.493 0.857 0.679
C 0.445 0.595 0.524
Nd 0.931 0.074 0.452
Nd 0.074 0.931 0.952
Co 0.515 0.376 0.758
Co 0.376 0.515 0.258



(19)
## ScWBr2 (GGA-PBEsol)

Data for a relaxed ScWBr2 crystal.

Results
Spin magnetization in μB/cell: 0.000
Distance to the lowest polymorph of the same formula in eV/atom: 0.0000
ΔE_f (raw) in eV per atom: -0.190
Raw total energy in eV per atom: -6.228
Space group: P4mm, No. 99

a b c (Å): 3.147 3.147 8.531
angles (deg): 90.00 90.00 90.00
Atoms (fractional coordinates):
W 0.500 0.500 0.754
Br 0.000 0.000 0.925
Br 0.500 0.500 0.308
Sc 0.000 0.000 0.513



(20)
## CrCuP3 (GGA-PBEsol)

Data for a relaxed CrCuP3 crystal.

Results
Spin magnetization in μB/cell: 0.007
Raw total energy in eV per atom: -5.762
Space group: Pm-3m, No. 221
Calculated formation energy in eV/f.u.: 3.1

a b c (Å): 4.345 4.345 4.345
angles (deg): 90.00 90.00 90.00
Atoms (fractional coordinates):
Cu 0.500 0.500 0.500
P 0.000 0.500 0.000
P 0.500 0.000 0.000
P 0.000 0.000 0.500
Cr 0.000 0.000 0.000



(21)
## ZrScCd2 (GGA-PBEsol)

Data for a relaxed ZrScCd2 crystal.

Results
Spin magnetization in μB/cell: 0.000
Distance to the lowest polymorph of the same formula in eV/atom: 0.0238
Raw total energy in eV per atom: -4.713
Space group: P4mm, No. 99
Calculated formation energy in eV/f.u.: -0.8

a b c (Å): 3.182 3.182 8.368
angles (deg): 90.00 90.00 90.00
Atoms (fractional coordinates):
Cd 0.000 0.000 0.008
Cd 0.500 0.500 0.245
Sc 0.000 0.000 0.495
Zr 0.500 0.500 0.752



(22)
## TeP2Ir (GGA-PBEsol)

Data for a relaxed TeP2Ir crystal.

Results
Spin magnetization in μB/cell: 0.000
ΔE_f (raw) in eV per atom: 0.001
Raw total energy in eV per atom: -6.232
Space group: Pm, No. 6

a b c (Å): 3.849 4.081 5.143
angles (deg): 95.47 90.00 90.00
Atoms (fractional coordinates):
P 0.000 0.085 0.073
P 0.500 0.753 0.066
Te 0.000 0.418 0.523
Ir 0.500 0.244 0.837



(23)
## Ag2HBr (GGA-PBEsol)

Data for a relaxed Ag2HBr crystal.

Results
Spin magnetization in μB/cell: 0.000
Raw total energy in eV per atom: -2.976
Space group: I-42d, No. 122

a b c (Å): 5.465 5.983 5.465
angles (deg): 62.83 90.00 117.17
Atoms (fractional coordinates):
Ag 0.875 0.250 0.490
Ag 0.490 0.750 0.375
Ag 0.375 0.250 0.260
Ag 0.260 0.750 0.875
H 0.250 0.500 0.250
H 0.500 0.000 0.500
Br 0.750 0.500 0.750
Br 0.000 0.000 0.000



(24)
## KRu2Rh (GGA-PBEsol)

Data for a relaxed KRu2Rh crystal.

Results
Spin magnetization in μB/cell: 0.000
Distance to the lowest polymorph of the same formula in eV/atom: 0.0000
Raw total energy in eV per atom: -6.570
Space group: Pmmm, No. 47
Calculated formation energy in eV/f.u.: 3.3

a b c (Å): 2.638 3.782 7.596
angles (deg): 90.00 90.00 90.00
Atoms (fractional coordinates):
K 0.500 0.500 0.000
Ru 0.000 0.000 0.338
Ru 0.000 0.000 0.662
Rh 0.500 0.500 0.500



(25)
## Y2Mg3Cu2 (GGA-PBEsol)

Data for a relaxed Y2Mg3Cu2 crystal.

Results
Spin magnetization in μB/cell: 0.000
Raw total energy in eV per atom: -4.088
Space group: Cmmm, No. 65
Calculated formation energy in eV/f.u.: -1.1

a b c (Å): 3.471 4.272 10.391
angles (deg): 101.86 90.00 90.00
Atoms (fractional coordinates):
Mg 0.500 0.421 0.842
Mg 0.500 0.579 0.158
Mg 0.000 0.000 0.000
Cu 0.500 0.715 0.429
Cu 0.500 0.285 0.571
Y 0.000 0.174 0.348
Y 0.000 0.826 0.652